A geometry-optimized Pu2TcPt structure, computed with PBE.

a = 3.3799 Å, b = 3.3799 Å, c = 7.1059 Å
α = 90.00°, β = 90.00°, γ = 90.00°
Closest atoms and distances in Å follow each position.
Positions (direct):
1 Tc 0.5000 0.5000 0.0000  8 Pu 2.95
2 Pu 0.0000 0.0000 0.2433  4 Tc 2.95, 4 Pt 3.01
3 Pu 0.0000 0.0000 0.7567  4 Tc 2.95, 4 Pt 3.01
4 Pt 0.5000 0.5000 0.5000  8 Pu 3.01

Values from the calculation:
- VASP energy: -11.5801 eV per atom